No. 1
VASP calculation (PBE) on an optimized crystal structure of Pu2Al3SiPt4.

Mass density ... 12.4 g/cm3
Spin magnetization ... 10.925 μB per formula unit
Formation energy from raw total energies ... -9.02 eV per formula unit
V ... 184 Å³/cell
SG ... P-4m2
Fermi-level density of states ... 29.130 states/eV per cell

abc: 4.220 4.220 10.355
angles: 90.00 90.00 90.00
Fractional positions:
1 Pu 0.000 0.500 0.244
2 Pu 0.500 0.000 0.756
3 Al 0.000 0.000 0.000
4 Al 0.000 0.500 0.633
5 Al 0.500 0.000 0.367
6 Si 0.500 0.500 0.000
7 Pt 0.000 0.000 0.500
8 Pt 0.000 0.500 0.872
9 Pt 0.500 0.000 0.128
10 Pt 0.500 0.500 0.500

No. 2
VASP calculation (PBE) on an optimized crystal structure of ScHgPb3.

Mass density ... 7.9 g/cm3
Spin magnetization ... 0.000 μB per formula unit
Distance to the lowest polymorph of the same formula ... 1.68 eV/f.u.
V ... 182 Å³/cell
Calculated formation energy ... 0.270 eV per atom
SG ... Pm-3m
Fermi-level density of states ... 5.508 states/eV per cell

abc: 5.665 5.665 5.665
angles: 90.00 90.00 90.00
Fractional positions:
1 Sc 0.000 0.000 0.000
2 Hg 0.500 0.500 0.500
3 Pb 0.000 0.000 0.500
4 Pb 0.000 0.500 0.000
5 Pb 0.500 0.000 0.000

No. 3
VASP calculation (PBE) on an optimized crystal structure of V5RuW2.

Mass density ... 10.5 g/cm3
Spin magnetization ... 0.000 μB per formula unit
V ... 228 Å³/cell
Calculated formation energy ... -0.066 eV per atom
SG ... Pbam
Fermi-level density of states ... 14.545 states/eV per cell

abc: 5.167 10.121 4.361
angles: 90.00 90.00 90.00
Fractional positions:
1 V 0.000 0.000 0.000
2 V 0.144 0.251 0.000
3 V 0.166 0.616 0.500
4 V 0.334 0.116 0.500
5 V 0.356 0.751 0.000
6 V 0.500 0.500 0.000
7 V 0.644 0.249 0.000
8 V 0.666 0.884 0.500
9 V 0.834 0.384 0.500
10 V 0.856 0.749 0.000
11 Ru 0.000 0.500 0.000
12 Ru 0.500 0.000 0.000
13 W 0.164 0.872 0.500
14 W 0.336 0.372 0.500
15 W 0.664 0.628 0.500
16 W 0.836 0.128 0.500

No. 4
VASP calculation (PBE) on an optimized crystal structure of Na2Tm2Br7.

Mass density ... 4.2 g/cm3
Spin magnetization ... 0.703 μB per formula unit
Formation energy from raw total energies ... -16.90 eV per formula unit
V ... 369 Å³/cell
SG ... C2/m
Fermi-level density of states ... 2.254 states/eV per cell

abc: 7.474 7.474 7.009
angles: 91.95 91.95 70.64
Fractional positions:
1 Na 0.247 0.753 0.000
2 Na 0.753 0.247 0.000
3 Tm 0.269 0.269 0.566
4 Tm 0.731 0.731 0.434
5 Br 0.004 0.590 0.737
6 Br 0.079 0.079 0.749
7 Br 0.410 0.996 0.263
8 Br 0.500 0.500 0.500
9 Br 0.590 0.004 0.737
10 Br 0.921 0.921 0.251
11 Br 0.996 0.410 0.263

No. 5
VASP calculation (PBE) on an optimized crystal structure of SiHg.

Mass density ... 9.3 g/cm3
Spin magnetization ... 0.000 μB per formula unit
Formation energy from raw total energies ... 1.23 eV per formula unit
Distance to the lowest polymorph of the same formula ... 0.94 eV/f.u.
V ... 82 Å³/cell
SG ... I4_1/amd
Fermi-level density of states ... 1.622 states/eV per cell

abc: 5.037 5.037 5.037
angles: 125.35 125.35 80.96
Fractional positions:
1 Si 0.375 0.625 0.750
2 Si 0.625 0.375 0.250
3 Hg 0.125 0.875 0.250
4 Hg 0.875 0.125 0.750

No. 6
VASP calculation (PBE) on an optimized crystal structure of EuTiTl2.

Mass density ... 10.2 g/cm3
Spin magnetization ... 7.596 μB per formula unit
V ... 99 Å³/cell
Calculated formation energy ... -0.046 eV per atom
SG ... P4/mmm
Fermi-level density of states ... 3.256 states/eV per cell

abc: 3.382 3.382 8.658
angles: 90.00 90.00 90.00
Fractional positions:
1 Eu 0.000 0.000 0.000
2 Ti 0.000 0.000 0.500
3 Tl 0.500 0.500 0.280
4 Tl 0.500 0.500 0.720